(1)
Li2ReW2 | PBE | relaxed

abc: 6.3857 6.3857 3.1948
angles: 90.00 90.00 90.00
With the nearest neighbours (Å) after each atom.
Space group P4/mbm (No. 127)
Symmetry-distinct sites (fractional):
Li: 0.1132 0.3868 0.0000  1 Li 2.05
Re: 0.0000 0.0000 0.0000  4 Li 2.57, 8 W 2.82
W: 0.1869 0.6869 0.5000  6 Li 2.41-2.54

Its offset from the most stable computed form is 0.0 kJ per mole of atoms. The crystal system is tetragonal. The total moment comes out at 0.00 Bohr magnetons per cell. The value obtained for the formation energy is 651 meV per atom. The calculation puts the raw total energy at -7.786 eV per atom.

---

(2)
LiRe2W | PBE | relaxed

abc: 5.3495 8.3676 2.6636
angles: 90.00 90.00 90.00
With the nearest neighbours (Å) after each atom.
Space group Cmmm (No. 65)
Symmetry-distinct sites (fractional):
Li: 0.0000 0.0000 0.0000  2 Li 2.66, 2 W 2.67, 8 Re 2.82
Re: 0.2500 0.2500 0.5000  4 Re 2.66-2.67, 4 Li 2.82, 4 W 2.82
W: 0.0000 0.5000 0.0000  2 W 2.66, 2 Li 2.67, 8 Re 2.82

Its offset from the most stable computed form is 21.3 kJ per mole of atoms. The crystal system is orthorhombic. The total moment comes out at 0.00 Bohr magnetons per cell. The value obtained for the formation energy is 411 meV per atom. The calculation puts the raw total energy at -9.530 eV per atom.

---

(3)
LiReW2 | PBE | relaxed

abc: 3.1265 4.4169 8.7573
angles: 90.00 90.00 90.00
With the nearest neighbours (Å) after each atom.
Space group Immm (No. 71)
Symmetry-distinct sites (fractional):
Li: 0.0000 0.0000 0.0000  4 Re 2.71, 4 W 2.77
Re: 0.0000 0.0000 0.5000  4 W 2.61, 4 Li 2.71
W: 0.0000 0.5000 0.2393  2 Re 2.61, 4 W 2.71, 2 Li 2.77

Its offset from the most stable computed form is 10.9 kJ per mole of atoms. The crystal system is orthorhombic. The total moment comes out at 0.00 Bohr magnetons per cell. The value obtained for the formation energy is 356 meV per atom. The calculation puts the raw total energy at -9.711 eV per atom.

---

(4)
LiRe2W | PBE | relaxed

abc: 3.0069 4.4360 9.2557
angles: 90.00 90.00 90.00
With the nearest neighbours (Å) after each atom.
Space group Cmm2 (No. 35)
Symmetry-distinct sites (fractional):
Li: 0.0000 0.0000 0.0000  4 Li 2.68, 2 Re 2.76, 2 W 2.87
Re: 0.0000 0.0000 0.5085  6 Re 2.68-2.69, 2 W 2.72
Re: 0.0000 0.5000 0.7495  6 Re 2.68-2.69, 2 Li 2.76
W: 0.0000 0.5000 0.2638  4 W 2.68, 2 Re 2.72, 2 Li 2.87

Its offset from the most stable computed form is 14.2 kJ per mole of atoms. The crystal system is orthorhombic. The total moment comes out at 0.00 Bohr magnetons per cell. The value obtained for the formation energy is 337 meV per atom. The calculation puts the raw total energy at -9.604 eV per atom.